Material: MgFeO2
Method: DFT, GGA+U
State: optimized geometry

Calculated values
E_tot   -0.465 Ry/atom

CIF file:
```
data_MgFeO2
_chemical_formula_sum 'Mg4 Fe4 O8'
_space_group_name_H-M_alt 'P -1'
_space_group_IT_number 2
_space_group_name_Hall '-P 1'
_cell_length_a 3.044
_cell_length_b 7.458
_cell_length_c 7.539
_cell_angle_alpha 108.83
_cell_angle_beta 90.43
_cell_angle_gamma 90.15
loop_
_atom_site_label
_atom_site_type_symbol
_atom_site_fract_x
_atom_site_fract_y
_atom_site_fract_z
_atom_site_occupancy
Mg1 Mg 0.242 0.436 0.315 1
Mg2 Mg 0.243 0.190 0.560 1
Fe1 Fe 0.259 0.687 0.065 1
Fe2 Fe 0.264 0.941 0.810 1
O1 O 0.211 0.193 0.069 1
O2 O 0.256 0.683 0.558 1
O3 O 0.260 0.939 0.323 1
O4 O 0.266 0.435 0.802 1
```